[1]
{"formula": "AlRhF3", "functional": "PBE", "state": "relaxed", "magnetic_moment_mub_per_cell": 1.2, "dft_energy_ev_per_atom": -4.9012, "relative_energy_mev_per_atom": 0, "raw_formation_energy_ev_per_atom": -1.56, "lattice": [[3.878, 0.000, 0.000], [0.000, 3.878, 0.000], [0.000, 0.000, 3.878]], "species": ["F", "Rh", "F", "F", "Al"], "fractional_positions": [[0.500, 0.000, 0.000], [0.500, 0.500, 0.500], [0.000, 0.500, 0.000], [0.000, 0.000, 0.500], [0.000, 0.000, 0.000]]}

[2]
{"formula": "AlRhF3", "functional": "PBE", "state": "relaxed", "magnetic_moment_mub_per_cell": 0.7, "dft_energy_ev_per_atom": -4.3830, "relative_energy_mev_per_atom": 518, "raw_formation_energy_ev_per_atom": -1.04, "lattice": [[4.251, 0.000, 0.000], [0.000, 4.251, 0.000], [0.000, 0.000, 4.251]], "species": ["F", "F", "Rh", "Al", "F"], "fractional_positions": [[0.000, 0.500, 0.000], [0.500, 0.000, 0.000], [0.000, 0.000, 0.000], [0.500, 0.500, 0.500], [0.000, 0.000, 0.500]]}

[3]
{"formula": "Al2RhF", "functional": "PBE", "state": "relaxed", "magnetic_moment_mub_per_cell": 0.0, "dft_energy_ev_per_atom": -4.9874, "raw_formation_energy_ev_per_atom": -0.81, "lattice": [[0.000, 3.027, 3.027], [3.027, 0.000, 3.027], [3.027, 3.027, 0.000]], "species": ["Al", "F", "Rh", "Al"], "fractional_positions": [[0.750, 0.750, 0.750], [0.000, 0.000, 0.000], [0.500, 0.500, 0.500], [0.250, 0.250, 0.250]]}

[4]
{"formula": "Sc2AlRhF", "functional": "PBE", "state": "relaxed", "magnetic_moment_mub_per_cell": 0.0, "dft_energy_ev_per_atom": -5.1957, "raw_formation_energy_ev_per_atom": -0.07, "lattice": [[-2.693, -3.712, -2.510], [1.899, -3.026, 2.438], [-3.849, 0.416, 3.514]], "species": ["Al", "Sc", "F", "Rh", "Sc"], "fractional_positions": [[0.000, 0.000, 0.000], [0.000, 0.000, 0.500], [0.500, 0.500, 0.500], [0.000, 0.500, 0.000], [0.500, 0.000, 0.000]]}

[5]
{"formula": "Al2RuF", "functional": "PBE", "state": "relaxed", "magnetic_moment_mub_per_cell": 0.0, "dft_energy_ev_per_atom": -5.1097, "relative_energy_mev_per_atom": 315, "raw_formation_energy_ev_per_atom": -0.45, "lattice": [[0.000, 3.028, 3.028], [3.028, 0.000, 3.028], [3.028, 3.028, 0.000]], "species": ["Ru", "F", "Al", "Al"], "fractional_positions": [[0.500, 0.500, 0.500], [0.000, 0.000, 0.000], [0.250, 0.250, 0.250], [0.750, 0.750, 0.750]]}

[6]
{"formula": "Al3RuF", "functional": "PBE", "state": "relaxed", "magnetic_moment_mub_per_cell": 0.0, "dft_energy_ev_per_atom": -4.9169, "relative_energy_mev_per_atom": 0, "raw_formation_energy_ev_per_atom": -0.44, "lattice": [[4.683, 0.000, 0.000], [0.000, 4.683, 0.000], [0.000, 0.000, 4.683]], "species": ["F", "Al", "Al", "Al", "Ru"], "fractional_positions": [[0.500, 0.500, 0.500], [0.000, 0.000, 0.500], [0.500, 0.000, 0.000], [0.000, 0.500, 0.000], [0.000, 0.000, 0.000]]}

[7]
{"formula": "AlRuF2", "functional": "PBE", "state": "relaxed", "magnetic_moment_mub_per_cell": 1.2, "dft_energy_ev_per_atom": -5.1702, "relative_energy_mev_per_atom": 0, "raw_formation_energy_ev_per_atom": -0.98, "lattice": [[7.925, -0.019, -0.011], [7.462, 2.669, -0.011], [7.462, 1.285, 2.339]], "species": ["Al", "Ru", "F", "F"], "fractional_positions": [[0.000, 0.000, 0.000], [0.500, 0.500, 0.500], [0.921, 0.921, 0.921], [0.079, 0.079, 0.079]]}

[8]
{"formula": "Al2RuF", "functional": "PBE", "state": "relaxed", "magnetic_moment_mub_per_cell": 0.0, "dft_energy_ev_per_atom": -5.4244, "relative_energy_mev_per_atom": 0, "raw_formation_energy_ev_per_atom": -0.77, "lattice": [[6.029, 0.000, 0.000], [0.000, 6.029, 0.000], [3.015, 3.015, 3.058]], "species": ["F", "Ru", "Al", "Al", "F", "Al", "Ru", "Al"], "fractional_positions": [[0.250, 0.750, 0.500], [0.750, 0.250, 0.500], [0.875, 0.825, 0.750], [0.375, 0.425, 0.750], [0.500, 0.500, 0.000], [0.175, 0.625, 0.250], [0.000, 0.000, 0.000], [0.575, 0.125, 0.250]]}

[9]
{"formula": "Al3RuF", "functional": "PBE", "state": "relaxed", "magnetic_moment_mub_per_cell": 0.0, "dft_energy_ev_per_atom": -4.7595, "relative_energy_mev_per_atom": 157, "raw_formation_energy_ev_per_atom": -0.28, "lattice": [[4.102, 0.000, 0.000], [0.000, 4.102, 0.000], [0.000, 0.000, 4.102]], "species": ["Al", "Al", "Ru", "Al", "F"], "fractional_positions": [[0.000, 0.500, 0.000], [0.500, 0.000, 0.000], [0.500, 0.500, 0.500], [0.000, 0.000, 0.500], [0.000, 0.000, 0.000]]}

[10]
{"formula": "AlRuF2", "functional": "PBE", "state": "relaxed", "magnetic_moment_mub_per_cell": 4.5, "dft_energy_ev_per_atom": -4.9584, "relative_energy_mev_per_atom": 212, "raw_formation_energy_ev_per_atom": -0.77, "lattice": [[1.055, -5.166, 2.108], [0.207, 2.086, 5.278], [-4.540, 0.906, -3.289]], "species": ["F", "F", "F", "Al", "F", "Al", "Ru", "Ru"], "fractional_positions": [[0.375, 0.599, 0.724], [0.401, 0.125, 0.776], [0.875, 0.651, 0.276], [0.500, 0.500, 0.000], [0.349, 0.625, 0.224], [0.250, 0.750, 0.500], [0.750, 0.250, 0.500], [0.000, 0.000, 0.000]]}

[11]
{"formula": "AlRuF2", "functional": "PBE", "state": "relaxed", "magnetic_moment_mub_per_cell": 0.0, "dft_energy_ev_per_atom": -4.8332, "relative_energy_mev_per_atom": 337, "raw_formation_energy_ev_per_atom": -0.64, "lattice": [[-4.772, 0.945, -3.847], [-6.075, 0.882, -0.885], [-4.662, 3.583, -1.974]], "species": ["F", "Ru", "Al", "F"], "fractional_positions": [[0.128, 0.128, 0.128], [0.000, 0.000, 0.000], [0.500, 0.500, 0.500], [0.872, 0.872, 0.872]]}

[12]
{"formula": "AlRuF2", "functional": "PBE", "state": "relaxed", "magnetic_moment_mub_per_cell": 2.4, "dft_energy_ev_per_atom": -4.6770, "relative_energy_mev_per_atom": 493, "raw_formation_energy_ev_per_atom": -0.49, "lattice": [[0.000, 2.959, 2.959], [2.959, 0.000, 2.959], [2.959, 2.959, 0.000]], "species": ["Ru", "F", "F", "Al"], "fractional_positions": [[0.500, 0.500, 0.500], [0.250, 0.250, 0.250], [0.750, 0.750, 0.750], [0.000, 0.000, 0.000]]}

- Number 5 is which compound?
  Al2RuF